The following is a GGA-PBE calculation of a relaxed structure of Co2TeN, from the Alexandria database.

Lattice parameters (Å, degrees): 4.6708 4.6708 6.2206 67.95 67.95 90.00
Last column: nearest neighbours and their distance in Å.
Fractional positions:
Co1 0.2561 0.6250 0.2500  2 N 1.85
Co2 0.3750 0.5061 0.7500  2 N 1.85
Co3 0.4939 0.1250 0.2500  2 N 1.85
Co4 0.8750 0.7439 0.7500  2 N 1.85
Te1 0.0000 0.0000 0.0000  4 Co 2.50
Te2 0.7500 0.2500 0.5000  4 Co 2.50
N1 0.5000 0.5000 0.0000  4 Co 1.85
N2 0.2500 0.7500 0.5000  4 Co 1.85

Computed properties:
Its space group is No. 122. The calculation puts the formation energy without anion corrections at 0.076 eV per atom.

The following is a GGA-PBE calculation of a relaxed structure of Na7Hg2Au2, from the Alexandria database.

Lattice parameters (Å, degrees): 6.3030 8.3562 6.3030 90.00 103.21 90.00
Last column: nearest neighbours and their distance in Å.
Fractional positions:
Hg1 0.3446 0.0000 0.6554  1 Hg 3.07, 7 Na 3.08-3.41
Hg2 0.6554 0.0000 0.3446  1 Hg 3.07, 7 Na 3.08-3.41
Na1 0.4998 0.3201 0.5002  2 Au 2.96, 5 Na 3.01-3.16, 2 Hg 3.08
Na2 0.5002 0.6799 0.4998  2 Au 2.96, 5 Na 3.01-3.16, 2 Hg 3.08
Na3 0.0002 0.7076 0.4997  2 Au 3.07-3.08, 2 Na 3.16, 2 Hg 3.27
Na4 0.9998 0.2924 0.5003  2 Au 3.07-3.08, 2 Na 3.16, 2 Hg 3.27
Na5 0.5003 0.7076 0.9998  2 Au 3.07-3.08, 2 Na 3.16, 2 Hg 3.27
Na6 0.0000 0.0000 0.0000  2 Hg 3.41
Na7 0.4997 0.2924 0.0002  2 Au 3.07-3.08, 2 Na 3.16, 2 Hg 3.27
Au1 0.1748 0.5000 0.1748  1 Au 2.74, 2 Na 2.96
Au2 0.8252 0.5000 0.8252  1 Au 2.74, 2 Na 2.96

Computed properties:
Its space group is No. 65. The calculation puts the energy of formation at -0.1314 eV/atom.

The following is a GGA-PBE calculation of a relaxed structure of Pm4Ir3Au, from the Alexandria database.

Lattice parameters (Å, degrees): 5.0342 5.0342 8.7336 73.25 73.25 60.00
Last column: nearest neighbours and their distance in Å.
Fractional positions:
Pm1 0.1275 0.1275 0.6176  7 Ir 3.03-3.10, 1 Au 3.15
Pm2 0.8725 0.8725 0.3824  7 Ir 3.03-3.10, 1 Au 3.15
Pm3 0.3783 0.3783 0.8652  5 Ir 3.01-3.17, 3 Au 3.11
Pm4 0.6217 0.6217 0.1348  5 Ir 3.01-3.17, 3 Au 3.11
Ir1 0.5000 0.5000 0.5000  8 Pm 3.01-3.06
Ir2 0.7501 0.7501 0.7498  8 Pm 3.03-3.17
Ir3 0.2499 0.2499 0.2502  8 Pm 3.03-3.17
Au1 0.0000 0.0000 0.0000  8 Pm 3.11-3.15

Computed properties:
Its space group is No. 166. The calculation puts the energy of formation at -0.6751 eV/atom.

The following is a GGA-PBE calculation of a relaxed structure of Mn5Si, from the Alexandria database.

Lattice parameters (Å, degrees): 4.9126 4.9126 3.8413 90.00 90.00 133.93
Last column: nearest neighbours and their distance in Å.
Fractional positions:
Si1 0.9715 0.0285 0.0000  12 Mn 2.45-2.72
Mn1 0.1449 0.8551 0.5000  6 Mn 2.38-2.47, 2 Si 2.48
Mn2 0.8033 0.1967 0.5000  6 Mn 2.40-2.46, 2 Si 2.45
Mn3 0.3013 0.6987 0.0000  6 Mn 2.38-2.47, 2 Si 2.46
Mn4 0.4727 0.5273 0.5000  8 Mn 2.44-2.47, 4 Si 2.72
Mn5 0.6396 0.3604 0.0000  6 Mn 2.42-2.44, 2 Si 2.45

Computed properties:
Its space group is No. 38. The calculation puts the formation energy without anion corrections at -0.161 eV per atom.

The following is a GGA-PBE calculation of a relaxed structure of K2Cu2As, from the Alexandria database.

Lattice parameters (Å, degrees): 6.6321 6.6321 5.3172 90.00 90.00 90.00
Last column: nearest neighbours and their distance in Å.
Fractional positions:
Cu1 0.8635 0.6365 0.0000  1 Cu 2.56, 2 As 2.58
Cu2 0.1365 0.3635 0.0000  1 Cu 2.56, 2 As 2.58
Cu3 0.6365 0.1365 0.0000  1 Cu 2.56, 2 As 2.58
Cu4 0.3635 0.8635 0.0000  1 Cu 2.56, 2 As 2.58
K1 0.3155 0.1845 0.5000  6 Cu 3.14-3.42, 5 K 3.43-3.46
K2 0.1845 0.6845 0.5000  6 Cu 3.14-3.42, 5 K 3.43-3.46
K3 0.6845 0.8155 0.5000  6 Cu 3.14-3.42, 5 K 3.43-3.46
K4 0.8155 0.3155 0.5000  6 Cu 3.14-3.42, 5 K 3.43-3.46
As1 0.0000 0.0000 0.0000  4 Cu 2.58
As2 0.5000 0.5000 0.0000  4 Cu 2.58

Computed properties:
Its space group is No. 127. The calculation puts the energy of formation at 0.0753 eV/atom.

The following is a GGA-PBE calculation of a relaxed structure of Mg6TiB, from the Alexandria database.

Lattice parameters (Å, degrees): 6.6347 6.6347 3.6390 90.00 90.00 98.81
Last column: nearest neighbours and their distance in Å.
Fractional positions:
Mg1 0.6719 0.3281 0.0000  6 Mg 2.85-2.95
Mg2 0.5583 0.7952 0.0000  2 B 2.67, 1 Ti 2.93
Mg3 0.3843 0.1161 0.5000  1 B 2.51
Mg4 0.2048 0.4417 0.0000  2 B 2.67, 1 Ti 2.93
Mg5 0.9018 0.0982 0.5000  4 Mg 2.95-3.19, 2 Ti 2.96
Mg6 0.8839 0.6157 0.5000  1 B 2.51
Ti1 0.1337 0.8663 0.0000  2 B 2.23
B1 0.2614 0.7386 0.5000  2 Ti 2.23

Computed properties:
Its space group is No. 38. The calculation puts the energy of formation at 0.1569 eV/atom.

Ordered energy results: -50.752, -17.837, -54.264, -52.238, -29.321, -22.885; unit eV for the cell shown.
Ordered volume results: 14.375, 29.381, 22.595, 11.128, 23.387, 19.787; unit A^3/atom.